# 1
The following is a PBE calculation of a relaxed structure of AsSe3, from Alexandria via LeMat-Bulk.

Structure (CIF):
```
data_AsSe3
_chemical_formula_sum 'As4 Se12'
_cell_length_a 7.161
_cell_length_b 16.961
_cell_length_c 3.538
_cell_angle_alpha 90.00
_cell_angle_beta 90.00
_cell_angle_gamma 90.00
_symmetry_space_group_name_H-M 'C m c m'
_symmetry_Int_Tables_number 63
_symmetry_space_group_name_Hall '-C 2c 2'
loop_
_atom_site_label
_atom_site_type_symbol
_atom_site_fract_x
_atom_site_fract_y
_atom_site_fract_z
As1 As 0.000 0.178 0.250
Se1 Se 0.000 0.350 0.750
Se2 Se 0.226 0.114 0.750
```

The value obtained for the polymorph energy (0 for the lowest one) is 97 meV per atom. As for the uncorrected formation energy: 65 kJ/mol of formula units. The calculation puts the density at 4.82 g/cm3. Its total moment is 0.00 μB per formula unit.



# 2
The following is a PBE calculation of a relaxed structure of Ca3CdMo, from Alexandria via LeMat-Bulk.

Structure (CIF):
```
data_Ca3CdMo
_chemical_formula_sum 'Ca3 Cd1 Mo1'
_cell_length_a 5.528
_cell_length_b 5.528
_cell_length_c 5.528
_cell_angle_alpha 90.00
_cell_angle_beta 90.00
_cell_angle_gamma 90.00
_symmetry_space_group_name_H-M 'P m -3 m'
_symmetry_Int_Tables_number 221
_symmetry_space_group_name_Hall '-P 4 2 3'
loop_
_atom_site_label
_atom_site_type_symbol
_atom_site_fract_x
_atom_site_fract_y
_atom_site_fract_z
Ca1 Ca 0.000 0.000 0.500
Cd1 Cd 0.500 0.500 0.500
Mo1 Mo 0.000 0.000 0.000
```

The value obtained for the polymorph energy (0 for the lowest one) is 0 meV per atom. The calculation puts the density at 3.23 g/cm3. Its total moment is 1.20 μB per formula unit.



# 3
The following is a PBE calculation of a relaxed structure of Zr4TaRe, from Alexandria via LeMat-Bulk.

Structure (CIF):
```
data_Zr4TaRe
_chemical_formula_sum 'Zr16 Ta4 Re4'
_cell_length_a 7.888
_cell_length_b 7.888
_cell_length_c 7.888
_cell_angle_alpha 90.00
_cell_angle_beta 90.00
_cell_angle_gamma 90.00
_symmetry_space_group_name_H-M 'F -4 3 m'
_symmetry_Int_Tables_number 216
_symmetry_space_group_name_Hall 'F -4 2 3'
loop_
_atom_site_label
_atom_site_type_symbol
_atom_site_fract_x
_atom_site_fract_y
_atom_site_fract_z
Zr1 Zr 0.125 0.125 0.125
Ta1 Ta 0.000 0.000 0.500
Re1 Re 0.250 0.250 0.750
```

For the raw total energy, the calculation gives -0.6715 Ry per atom. The calculation puts the density at 9.91 g/cm3. Its total moment is 0.00 μB per formula unit.



# 4
The following is a PBE calculation of a relaxed structure of AlZnFeGe2, from Alexandria via LeMat-Bulk.

Structure (CIF):
```
data_AlZnFeGe2
_chemical_formula_sum 'Al1 Zn1 Fe1 Ge2'
_cell_length_a 4.649
_cell_length_b 4.649
_cell_length_c 4.522
_cell_angle_alpha 90.00
_cell_angle_beta 90.00
_cell_angle_gamma 90.00
_symmetry_space_group_name_H-M 'P 4/m m m'
_symmetry_Int_Tables_number 123
_symmetry_space_group_name_Hall '-P 4 2'
loop_
_atom_site_label
_atom_site_type_symbol
_atom_site_fract_x
_atom_site_fract_y
_atom_site_fract_z
Al1 Al 0.000 0.000 0.000
Zn1 Zn 0.500 0.500 0.500
Fe1 Fe 0.500 0.500 0.000
Ge1 Ge 0.000 0.500 0.500
```

For the raw total energy, the calculation gives -0.2676 Ry per atom. The calculation puts the density at 4.99 g/cm3. Its total moment is 2.89 μB per formula unit.